Entry from the Alexandria database: a geometry-optimized Ac2CrBiO6 structure (PBE+U).

Structure (CIF):
```
data_Ac2CrBiO6
_chemical_formula_sum 'Ac2 Cr1 Bi1 O6'
_cell_length_a 5.774
_cell_length_b 5.774
_cell_length_c 4.970
_cell_angle_alpha 90.00
_cell_angle_beta 90.00
_cell_angle_gamma 90.00
_symmetry_space_group_name_H-M 'P 4 m m'
_symmetry_Int_Tables_number 99
_symmetry_space_group_name_Hall 'P 4 -2'
loop_
_atom_site_label
_atom_site_type_symbol
_atom_site_fract_x
_atom_site_fract_y
_atom_site_fract_z
_atom_site_occupancy
Ac1 Ac 0.000 0.500 0.000 1
Cr1 Cr 0.000 0.000 0.593 1
Bi1 Bi 0.500 0.500 0.557 1
O1 O 0.000 0.000 0.202 1
O2 O 0.234 0.234 0.702 1
O3 O 0.500 0.500 0.086 1
```

Output
- VASP energy (eV/atom) = -7.24
- total moment (μB/f.u.) = 3.000